Entry 1:
AcPuGe | GGA-PBE | relaxed

a = 4.9268 Å, b = 4.9268 Å, c = 4.3602 Å
α = 90.00°, β = 90.00°, γ = 120.00°
Space group P3m1 (No. 156)
Symmetry-distinct sites (fractional):
Ac (0.0000, 0.0000, 0.0000)
Pu (0.3333, 0.6667, 0.4703)
Ge (0.6667, 0.3333, 0.5713)

=====

Entry 2:
Ac3Pu2Ge3 | GGA-PBE | relaxed

a = 4.165 Å, b = 4.816 Å, c = 23.810 Å
α = 90.00°, β = 90.00°, γ = 90.00°
Space group Immm (No. 71)
Symmetry-distinct sites (fractional):
Ac (0.000, 0.000, 0.000)
Ac (0.000, 0.500, 0.121)
Pu (0.000, 0.000, 0.255)
Ge (0.000, 0.000, 0.500)
Ge (0.000, 0.500, 0.339)

=====

Entry 3:
AcPuGe | GGA-PBE | relaxed

a = 3.706 Å, b = 3.706 Å, c = 11.685 Å
α = 90.00°, β = 90.00°, γ = 90.00°
Space group P4/nmm (No. 129, origin choice 2)
Symmetry-distinct sites (fractional):
Ac (0.250, 0.250, 0.165)
Pu (0.250, 0.750, 0.500)
Ge (0.250, 0.250, 0.691)

=====

One value per record, in order, for E_tot: -7.871 -7.273 -7.727 eV per atom.
One value per record, in order, for ΔH_f (0 K): -0.1851 -0.4179 -0.0416 eV/atom.